Entry 1:
The following is a DFT calculation (PBE) of an optimized crystal structure of Nd4AlGa2.

The structure in POSCAR format:
```
Nd4AlGa2
1.0
6.358 -5.209 0.000
6.358 5.209 0.000
-4.236 0.000 5.997
Nd Al Ga
8 2 4
Direct
0.248 0.248 0.257
0.248 0.248 0.740
0.248 0.752 0.000
0.249 0.751 0.500
0.751 0.249 0.500
0.752 0.248 0.000
0.752 0.752 0.260
0.752 0.752 0.743
0.496 0.496 0.245
0.504 0.504 0.755
0.000 0.500 0.000
0.002 0.002 0.752
0.500 0.000 0.000
0.998 0.998 0.248
```

- DOS(E_F) (states/eV per cell) = 13.7
- SG = C2/m, No. 12
- formation energy from the elements (eV per atom) = -0.3574
- energy above the most stable polymorph in this dataset (meV/atom) = 2.8

=====

Entry 2:
The following is a DFT calculation (PBE) of an optimized crystal structure of Nd4AlGa12.

The structure in POSCAR format:
```
Nd4AlGa12
1.0
-4.449 4.449 4.449
4.449 -4.449 4.449
4.449 4.449 -4.449
Nd Al Ga
4 1 12
Direct
0.000 0.000 0.500
0.000 0.500 0.000
0.500 0.000 0.000
0.500 0.500 0.500
0.000 0.000 0.000
0.000 0.308 0.308
0.000 0.692 0.692
0.250 0.500 0.750
0.250 0.750 0.500
0.308 0.000 0.308
0.308 0.308 0.000
0.500 0.250 0.750
0.500 0.750 0.250
0.692 0.000 0.692
0.692 0.692 0.000
0.750 0.250 0.500
0.750 0.500 0.250
```

- DOS(E_F) (states/eV per cell) = 5.2
- SG = Im-3m, No. 229
- formation energy from the elements (eV per atom) = -0.5126

=====

Entry 3:
The following is a DFT calculation (PBE) of an optimized crystal structure of NdAl2Ga3.

The structure in POSCAR format:
```
NdAl2Ga3
1.0
4.611 0.000 0.000
-2.305 3.993 0.000
0.000 0.000 6.441
Nd Al Ga
1 2 3
Direct
0.000 0.000 0.000
0.333 0.667 0.690
0.667 0.333 0.310
0.000 0.000 0.500
0.333 0.667 0.267
0.667 0.333 0.733
```

- DOS(E_F) (states/eV per cell) = 2.0
- SG = P-3m1, No. 164
- formation energy from the elements (eV per atom) = -0.3477

=====

Entry 4:
The following is a DFT calculation (PBE) of an optimized crystal structure of NdAlGa.

The structure in POSCAR format:
```
NdAlGa
1.0
-2.105 2.105 8.566
2.105 -2.105 8.566
2.105 2.105 -8.566
Nd Al Ga
2 2 2
Direct
0.104 0.104 0.000
0.896 0.896 0.000
0.280 0.280 0.000
0.720 0.720 0.000
0.429 0.429 0.000
0.571 0.571 0.000
```

- DOS(E_F) (states/eV per cell) = 4.6
- SG = I4/mmm, No. 139
- formation energy from the elements (eV per atom) = -0.0777

=====

Entry 5:
The following is a DFT calculation (PBE) of an optimized crystal structure of NdAlGa4.

The structure in POSCAR format:
```
NdAlGa4
1.0
0.000 3.934 3.934
3.934 0.000 3.934
3.934 3.934 0.000
Nd Al Ga
1 1 4
Direct
0.000 0.000 0.000
0.250 0.250 0.250
0.126 0.625 0.625
0.625 0.126 0.625
0.625 0.625 0.126
0.625 0.625 0.625
```

- DOS(E_F) (states/eV per cell) = 5.1
- SG = F-43m, No. 216
- formation energy from the elements (eV per atom) = -0.1909

=====

Entry 6:
The following is a DFT calculation (PBE) of an optimized crystal structure of Nd3Al8Ga3.

The structure in POSCAR format:
```
Nd3Al8Ga3
1.0
-2.189 5.064 6.475
2.189 -5.064 6.475
2.189 5.064 -6.475
Nd Al Ga
3 8 3
Direct
0.000 0.000 0.000
0.322 0.322 0.000
0.678 0.678 0.000
0.037 0.666 0.371
0.131 0.860 0.272
0.295 0.666 0.629
0.412 0.140 0.272
0.588 0.860 0.728
0.705 0.334 0.371
0.869 0.140 0.728
0.963 0.334 0.629
0.279 0.500 0.779
0.500 0.000 0.500
0.721 0.500 0.221
```

- DOS(E_F) (states/eV per cell) = 4.1
- SG = Immm, No. 71
- formation energy from the elements (eV per atom) = -0.3945